A relaxed Ca6GaNi2 crystal, computed with GGA-PBE.

Output
The value obtained for the calculated volume is 27.7 Å³/atom. The formation energy comes out at -0.167 eV per atom. Its space-group type is Immm, No. 71. The value obtained for the total energy is -3.123 eV/atom.

a = 8.672 Å, b = 8.672 Å, c = 8.672 Å
α = 112.31°, β = 111.81°, γ = 104.41°
Atoms (fractional coordinates):
Ca 0.038 0.234 0.803
Ca 0.182 0.287 0.469
Ca 0.182 0.713 0.896
Ca 0.325 0.020 0.695
Ca 0.325 0.630 0.305
Ca 0.431 0.234 0.197
Ca 0.569 0.766 0.803
Ca 0.675 0.370 0.695
Ca 0.675 0.980 0.305
Ca 0.818 0.287 0.104
Ca 0.818 0.713 0.531
Ca 0.962 0.766 0.197
Ga 0.000 0.000 0.000
Ga 0.500 0.500 0.000
Ni 0.111 0.611 0.500
Ni 0.375 0.000 0.375
Ni 0.625 0.000 0.625
Ni 0.889 0.389 0.500



A relaxed CaGaNi crystal, computed with GGA-PBE.

Output
The value obtained for the calculated volume is 20.3 Å³/atom. The formation energy comes out at -0.436 eV per atom. Its space-group type is P4/nmm, No. 129. The value obtained for the total energy is -4.039 eV/atom.

a = 4.274 Å, b = 4.274 Å, c = 6.673 Å
α = 90.00°, β = 90.00°, γ = 90.00°
Atoms (fractional coordinates):
Ca 0.250 0.250 0.183
Ca 0.750 0.750 0.817
Ga 0.250 0.250 0.677
Ga 0.750 0.750 0.323
Ni 0.250 0.750 0.500
Ni 0.750 0.250 0.500



A relaxed Ca2GaNi crystal, computed with GGA-PBE.

Output
The value obtained for the calculated volume is 24.6 Å³/atom. The formation energy comes out at 0.112 eV per atom. Its space-group type is I-42d, No. 122. The value obtained for the total energy is -3.091 eV/atom.

a = 7.899 Å, b = 7.899 Å, c = 6.298 Å
α = 90.00°, β = 90.00°, γ = 90.00°
Atoms (fractional coordinates):
Ca 0.209 0.250 0.125
Ca 0.250 0.709 0.375
Ca 0.250 0.791 0.875
Ca 0.291 0.250 0.625
Ca 0.709 0.750 0.625
Ca 0.750 0.209 0.875
Ca 0.750 0.291 0.375
Ca 0.791 0.750 0.125
Ga 0.000 0.000 0.500
Ga 0.000 0.500 0.750
Ga 0.500 0.000 0.250
Ga 0.500 0.500 0.000
Ni 0.000 0.000 0.000
Ni 0.000 0.500 0.250
Ni 0.500 0.000 0.750
Ni 0.500 0.500 0.500



A relaxed CaGa8Ni2 crystal, computed with GGA-PBE.

Output
The value obtained for the calculated volume is 22.6 Å³/atom. The formation energy comes out at -0.067 eV per atom. Its space-group type is P4/mmm, No. 123. The value obtained for the total energy is -3.501 eV/atom.

a = 5.632 Å, b = 5.632 Å, c = 7.851 Å
α = 90.00°, β = 90.00°, γ = 90.00°
Atoms (fractional coordinates):
Ca 0.000 0.000 0.000
Ga 0.253 0.253 0.316
Ga 0.253 0.253 0.684
Ga 0.253 0.747 0.316
Ga 0.253 0.747 0.684
Ga 0.747 0.253 0.316
Ga 0.747 0.253 0.684
Ga 0.747 0.747 0.316
Ga 0.747 0.747 0.684
Ni 0.000 0.500 0.500
Ni 0.500 0.000 0.500



A relaxed Ca4GaNi crystal, computed with GGA-PBE.

Output
The value obtained for the calculated volume is 28.6 Å³/atom. The formation energy comes out at -0.185 eV per atom. Its space-group type is C2/c, No. 15. The value obtained for the total energy is -2.988 eV/atom.

a = 8.272 Å, b = 8.272 Å, c = 6.023 Å
α = 103.54°, β = 103.54°, γ = 112.93°
Atoms (fractional coordinates):
Ca 0.054 0.706 0.924
Ca 0.227 0.361 0.683
Ca 0.294 0.946 0.576
Ca 0.361 0.227 0.183
Ca 0.639 0.773 0.817
Ca 0.706 0.054 0.424
Ca 0.773 0.639 0.317
Ca 0.946 0.294 0.076
Ga 0.368 0.632 0.250
Ga 0.632 0.368 0.750
Ni 0.002 0.998 0.750
Ni 0.998 0.002 0.250



A relaxed CaGaNi3 crystal, computed with GGA-PBE.

Output
The value obtained for the calculated volume is 16.8 Å³/atom. The formation energy comes out at -0.243 eV per atom. Its space-group type is Imma, No. 74. The value obtained for the total energy is -4.717 eV/atom.

a = 6.341 Å, b = 6.341 Å, c = 6.341 Å
α = 134.49°, β = 97.18°, γ = 100.03°
Atoms (fractional coordinates):
Ca 0.299 0.049 0.250
Ca 0.701 0.951 0.750
Ga 0.000 0.500 0.500
Ga 0.500 0.500 0.000
Ni 0.074 0.324 0.750
Ni 0.231 0.000 0.731
Ni 0.231 0.500 0.231
Ni 0.769 0.000 0.269
Ni 0.769 0.500 0.769
Ni 0.926 0.676 0.250